Record 1
VASP calculation (PBE) on a geometry-optimized RePbSe3 structure.

Geometry as POSCAR:
```
RePbSe3
1.0
4.965 0.000 0.000
0.000 4.965 0.000
0.000 0.000 4.965
Re Pb Se
1 1 3
Cartesian
0.000 0.000 0.000
2.482 2.482 2.482
0.000 0.000 2.482
0.000 2.482 0.000
2.482 0.000 0.000
```

Results
Polymorph energy (0 for the lowest one) in eV/f.u.: 0.00
Crystal system: cubic

=====

Record 2
VASP calculation (PBE) on a geometry-optimized Re2PbSe structure.

Geometry as POSCAR:
```
Re2PbSe
1.0
1.513 0.874 10.382
-1.513 0.874 10.382
0.000 -1.747 10.382
Re Pb Se
2 1 1
Cartesian
0.000 0.000 0.000
0.000 0.000 8.299
0.000 0.000 23.316
0.000 0.000 16.844
```

Results
Polymorph energy (0 for the lowest one) in eV/f.u.: 0.25
Crystal system: trigonal

=====

Record 3
VASP calculation (PBE) on a geometry-optimized RePb2Se structure.

Geometry as POSCAR:
```
RePb2Se
1.0
-1.634 2.048 7.372
1.634 -2.048 7.372
1.634 2.048 -7.372
Re Pb Se
1 2 1
Cartesian
0.000 0.000 0.000
1.634 0.000 2.513
0.000 2.048 4.858
0.000 0.000 7.372
```

Results
Crystal system: orthorhombic

=====

Record 4
VASP calculation (PBE) on a geometry-optimized Re2PbSe structure.

Geometry as POSCAR:
```
Re2PbSe
1.0
4.267 -1.616 0.000
4.267 1.616 0.000
-1.311 0.000 6.772
Re Pb Se
2 1 1
Cartesian
0.000 0.000 0.000
6.035 0.000 0.681
3.670 0.000 2.551
1.313 0.000 5.478
```

Results
Polymorph energy (0 for the lowest one) in eV/f.u.: 0.85
Crystal system: monoclinic

=====

Record 5
VASP calculation (PBE) on a geometry-optimized Re2PbSe structure.

Geometry as POSCAR:
```
Re2PbSe
1.0
1.543 -2.737 0.000
1.543 2.737 0.000
0.000 0.000 8.781
Re Pb Se
2 1 1
Cartesian
0.000 0.000 1.940
0.000 0.000 6.841
1.543 0.000 4.390
1.543 0.000 0.000
```

Results
Polymorph energy (0 for the lowest one) in eV/f.u.: 3.51
Crystal system: orthorhombic

=====

Record 6
VASP calculation (PBE) on a geometry-optimized Re2PbSe structure.

Geometry as POSCAR:
```
Re2PbSe
1.0
3.187 0.000 0.000
0.000 3.187 0.000
0.000 0.000 6.782
Re Pb Se
2 1 1
Cartesian
0.000 0.000 1.456
0.000 0.000 5.325
1.594 1.594 3.391
1.594 1.594 0.000
```

Results
Polymorph energy (0 for the lowest one) in eV/f.u.: 2.68
Crystal system: tetragonal

=====

Record 7
VASP calculation (PBE) on a geometry-optimized RePbSe2 structure.

Geometry as POSCAR:
```
RePbSe2
1.0
-3.329 3.329 5.135
3.329 -3.329 5.135
3.329 3.329 -5.135
Re Pb Se
2 2 4
Cartesian
0.000 0.000 0.000
0.000 3.329 2.568
3.329 0.000 2.568
0.000 0.000 5.135
4.993 1.141 -1.284
1.141 1.664 1.284
-1.664 2.188 3.852
2.188 1.664 6.419
```

Results
Crystal system: tetragonal

=====

Record 8
VASP calculation (PBE) on a geometry-optimized RePbSe structure.

Geometry as POSCAR:
```
RePbSe
1.0
-1.575 1.575 6.815
1.575 -1.575 6.815
1.575 1.575 -6.815
Re Pb Se
1 1 1
Cartesian
0.000 0.000 0.000
0.000 0.000 9.009
0.000 0.000 5.558
```

Results
Polymorph energy (0 for the lowest one) in eV/f.u.: 0.20
Crystal system: tetragonal

=====

Summary of formation energy without anion corrections in eV/atom
0.257, 0.385, 0.571, 0.535, 1.199, 0.992, 0.287, 0.295
(order as listed above)
Summary of spin magnetization in μB per atom
0.00, 0.00, 0.07, 0.00, 0.00, 0.00, 0.00, 0.00
(order as listed above)